First-principles (meta-GGA SCAN) data for a PBEsol-optimized structure of LaWBr2Cl, as listed in Alexandria via LeMat-Bulk.

abc: 5.4451 5.7740 5.7740
angles: 90.00 90.00 90.00
Closest atoms and distances in Å follow each position.
Atoms (fractional coordinates):
Br 0.0000 0.0000 0.5000  2 La 2.89
La 0.0000 0.0000 0.0000  2 Cl 2.72, 4 Br 2.89
Cl 0.5000 0.0000 0.0000  2 La 2.72
Br 0.0000 0.5000 0.0000  2 La 2.89
W 0.5000 0.5000 0.5000  8 Br 3.97, 4 Cl 4.08

Values from the calculation:
- electronic total energy (hartree per atom) = -1.1797
- spin magnetization (μB per formula unit) = 6.00
- formation energy without anion corrections (kcal/mol of atoms) = -3.8

---

First-principles (meta-GGA SCAN) data for a PBEsol-optimized structure of LiBrCl2, as listed in Alexandria via LeMat-Bulk.

abc: 3.8810 3.8810 7.6065
angles: 75.22 75.22 60.00
Closest atoms and distances in Å follow each position.
Atoms (fractional coordinates):
Cl 0.1096 0.1096 0.6713  1 Br 2.39, 3 Li 2.56
Br 0.0000 0.0000 0.0000  2 Cl 2.39
Li 0.5000 0.5000 0.5000  6 Cl 2.56
Cl 0.8904 0.8904 0.3287  1 Br 2.39, 3 Li 2.56

Values from the calculation:
- electronic total energy (hartree per atom) = -0.3844
- density of states at the Fermi level (states/eV/f.u.) = 0.00
- spin magnetization (μB per formula unit) = 0.00
- formation energy without anion corrections (kcal/mol of atoms) = -23.3

---

First-principles (meta-GGA SCAN) data for a PBEsol-optimized structure of LiBr2Cl, as listed in Alexandria via LeMat-Bulk.

abc: 3.7605 3.7605 8.0143
angles: 103.57 103.57 90.00
Closest atoms and distances in Å follow each position.
Atoms (fractional coordinates):
Br 0.7500 0.2500 0.5000  4 Li 2.66
Li 0.2500 0.7500 0.5000  4 Br 2.66
Cl 0.0000 0.0000 0.0000  4 Br 2.66
Br 0.5000 0.5000 0.0000  4 Cl 2.66

Values from the calculation:
- energy relative to the lowest polymorph listed for this composition (kJ/mol of atoms) = 16.5
- electronic total energy (hartree per atom) = -0.4750
- density of states at the Fermi level (states/eV/f.u.) = 0.98
- spin magnetization (μB per formula unit) = 0.00
- formation energy without anion corrections (kcal/mol of atoms) = -13.9

---

First-principles (meta-GGA SCAN) data for a PBEsol-optimized structure of LiBr2Cl, as listed in Alexandria via LeMat-Bulk.

abc: 4.2590 3.9009 6.9854
angles: 90.00 90.00 123.09
Closest atoms and distances in Å follow each position.
Atoms (fractional coordinates):
Br 0.0000 0.0000 0.1902  2 Li 2.51, 1 Br 2.66
Br 0.0000 0.0000 0.8098  2 Li 2.51, 1 Br 2.66
Li 0.5000 0.0000 0.0000  4 Br 2.51
Cl 0.5000 0.0000 0.5000  4 Br 3.04

Values from the calculation:
- energy relative to the lowest polymorph listed for this composition (kJ/mol of atoms) = 27.8
- electronic total energy (hartree per atom) = -0.4708
- density of states at the Fermi level (states/eV/f.u.) = 0.91
- spin magnetization (μB per formula unit) = 0.00
- formation energy without anion corrections (kcal/mol of atoms) = -11.3